(1)
The following is a PBE calculation of a geometry-optimized Pm4ScPa3P8 structure, from Alexandria.

a = 8.064 Å, b = 8.064 Å, c = 8.064 Å
α = 59.66°, β = 59.66°, γ = 59.66°
Element x y z (fractional)
Pm 0.000 0.000 0.000
Pm 0.000 0.500 0.500
Pm 0.500 0.000 0.500
Pm 0.500 0.500 0.000
Sc 0.500 0.500 0.500
Pa 0.000 0.000 0.500
Pa 0.000 0.500 0.000
Pa 0.500 0.000 0.000
P 0.246 0.246 0.246
P 0.247 0.742 0.742
P 0.258 0.258 0.753
P 0.258 0.753 0.258
P 0.742 0.247 0.742
P 0.742 0.742 0.247
P 0.753 0.258 0.258
P 0.754 0.754 0.754

Values from the calculation:
SG: R-3m, No. 166
Fermi-level density of states: 0.7597 states/eV per atom
calculated formation energy: -23.3 eV/f.u.

(2)
The following is a PBE calculation of a geometry-optimized Pm3ScPa2P6 structure, from Alexandria.

a = 6.934 Å, b = 6.934 Å, c = 6.989 Å
α = 99.52°, β = 99.52°, γ = 120.01°
Element x y z (fractional)
Pm 0.000 0.000 0.000
Pm 0.333 0.667 0.000
Pm 0.667 0.333 0.000
Sc 0.500 0.500 0.500
Pa 0.166 0.834 0.500
Pa 0.834 0.166 0.500
P 0.093 0.423 0.268
P 0.248 0.248 0.734
P 0.423 0.093 0.268
P 0.577 0.907 0.732
P 0.752 0.752 0.266
P 0.907 0.577 0.732

Values from the calculation:
SG: C2/m, No. 12
Fermi-level density of states: 0.7305 states/eV per atom
calculated formation energy: -17.6 eV/f.u.

(3)
The following is a PBE calculation of a geometry-optimized Pm2SmPaP4 structure, from Alexandria.

a = 7.053 Å, b = 4.080 Å, c = 7.061 Å
α = 90.00°, β = 109.43°, γ = 90.00°
Element x y z (fractional)
Pm 0.000 0.000 0.000
Pm 0.500 0.500 0.000
Sm 0.000 0.500 0.500
Pa 0.500 0.000 0.500
P 0.256 0.000 0.742
P 0.260 0.500 0.261
P 0.740 0.500 0.739
P 0.744 0.000 0.258

Values from the calculation:
SG: P2/m, No. 10
Fermi-level density of states: 0.5963 states/eV per atom
calculated formation energy: -12.1 eV/f.u.

(4)
The following is a PBE calculation of a geometry-optimized PmSm4Pa3P8 structure, from Alexandria.

a = 8.098 Å, b = 8.098 Å, c = 8.098 Å
α = 60.01°, β = 60.01°, γ = 60.01°
Element x y z (fractional)
Pm 0.000 0.000 0.000
Sm 0.000 0.000 0.500
Sm 0.000 0.500 0.000
Sm 0.500 0.000 0.000
Sm 0.500 0.500 0.500
Pa 0.000 0.500 0.500
Pa 0.500 0.000 0.500
Pa 0.500 0.500 0.000
P 0.251 0.251 0.739
P 0.251 0.739 0.251
P 0.254 0.254 0.254
P 0.261 0.749 0.749
P 0.739 0.251 0.251
P 0.746 0.746 0.746
P 0.749 0.261 0.749
P 0.749 0.749 0.261

Values from the calculation:
SG: R-3m, No. 166
Fermi-level density of states: 0.7726 states/eV per atom
calculated formation energy: -23.7 eV/f.u.

(5)
The following is a PBE calculation of a geometry-optimized SrPm2PaP4 structure, from Alexandria.

a = 7.130 Å, b = 4.132 Å, c = 7.174 Å
α = 90.00°, β = 109.11°, γ = 90.00°
Element x y z (fractional)
Sr 0.000 0.000 0.000
Pm 0.500 0.000 0.500
Pm 0.500 0.500 0.000
Pa 0.000 0.500 0.500
P 0.242 0.000 0.734
P 0.248 0.500 0.271
P 0.752 0.500 0.729
P 0.758 0.000 0.266

Values from the calculation:
SG: P2/m, No. 10
Fermi-level density of states: 0.4061 states/eV per atom
calculated formation energy: -10.9 eV/f.u.

(6)
The following is a PBE calculation of a geometry-optimized Sr3Pm2PaP6 structure, from Alexandria.

a = 7.300 Å, b = 7.300 Å, c = 7.379 Å
α = 99.52°, β = 99.52°, γ = 120.04°
Element x y z (fractional)
Sr 0.000 0.000 0.000
Sr 0.330 0.670 0.000
Sr 0.670 0.330 0.000
Pm 0.166 0.834 0.500
Pm 0.834 0.166 0.500
Pa 0.500 0.500 0.500
P 0.107 0.426 0.279
P 0.255 0.255 0.721
P 0.426 0.107 0.279
P 0.574 0.893 0.721
P 0.745 0.745 0.279
P 0.893 0.574 0.721

Values from the calculation:
SG: C2/m, No. 12
Fermi-level density of states: 0.8816 states/eV per atom
calculated formation energy: -15.1 eV/f.u.

(7)
The following is a PBE calculation of a geometry-optimized TbPm2PaP4 structure, from Alexandria.

a = 7.008 Å, b = 4.061 Å, c = 7.040 Å
α = 90.00°, β = 109.42°, γ = 90.00°
Element x y z (fractional)
Tb 0.000 0.000 0.000
Pm 0.000 0.500 0.500
Pm 0.500 0.000 0.500
Pa 0.500 0.500 0.000
P 0.252 0.500 0.239
P 0.258 0.000 0.762
P 0.742 0.000 0.238
P 0.748 0.500 0.761

Values from the calculation:
SG: P2/m, No. 10
Fermi-level density of states: 0.5793 states/eV per atom
calculated formation energy: -12.2 eV/f.u.

(8)
The following is a PBE calculation of a geometry-optimized TbPm3Pa2P6 structure, from Alexandria.

a = 7.010 Å, b = 7.010 Å, c = 7.031 Å
α = 99.56°, β = 99.56°, γ = 120.00°
Element x y z (fractional)
Tb 0.000 0.000 0.000
Pm 0.165 0.835 0.500
Pm 0.500 0.500 0.500
Pm 0.835 0.165 0.500
Pa 0.333 0.667 0.000
Pa 0.667 0.333 0.000
P 0.079 0.418 0.237
P 0.260 0.260 0.763
P 0.418 0.079 0.237
P 0.582 0.921 0.763
P 0.740 0.740 0.237
P 0.921 0.582 0.763

Values from the calculation:
SG: C2/m, No. 12
Fermi-level density of states: 0.7121 states/eV per atom
calculated formation energy: -18.0 eV/f.u.

(9)
The following is a PBE calculation of a geometry-optimized Tb2Pm3PaP6 structure, from Alexandria.

a = 7.031 Å, b = 7.031 Å, c = 7.049 Å
α = 99.55°, β = 99.55°, γ = 120.00°
Element x y z (fractional)
Tb 0.166 0.834 0.000
Tb 0.834 0.166 0.000
Pm 0.000 0.000 0.500
Pm 0.332 0.668 0.500
Pm 0.668 0.332 0.500
Pa 0.500 0.500 0.000
P 0.094 0.420 0.760
P 0.254 0.254 0.239
P 0.420 0.094 0.760
P 0.580 0.906 0.240
P 0.746 0.746 0.761
P 0.906 0.580 0.240

Values from the calculation:
SG: C2/m, No. 12
Fermi-level density of states: 0.3078 states/eV per atom
calculated formation energy: -18.7 eV/f.u.

(10)
The following is a PBE calculation of a geometry-optimized Pm3Th2PaP6 structure, from Alexandria.

a = 7.117 Å, b = 7.117 Å, c = 7.104 Å
α = 99.61°, β = 99.61°, γ = 120.01°
Element x y z (fractional)
Pm 0.000 0.000 0.000
Pm 0.332 0.668 0.000
Pm 0.668 0.332 0.000
Th 0.166 0.834 0.500
Th 0.834 0.166 0.500
Pa 0.500 0.500 0.500
P 0.095 0.419 0.257
P 0.258 0.258 0.743
P 0.419 0.095 0.257
P 0.581 0.905 0.743
P 0.742 0.742 0.257
P 0.905 0.581 0.743

Values from the calculation:
SG: C2/m, No. 12
Fermi-level density of states: 0.6161 states/eV per atom
calculated formation energy: -18.4 eV/f.u.

(11)
The following is a PBE calculation of a geometry-optimized Pm3ThPa2P6 structure, from Alexandria.

a = 7.056 Å, b = 7.056 Å, c = 7.055 Å
α = 99.59°, β = 99.59°, γ = 120.00°
Element x y z (fractional)
Pm 0.000 0.000 0.000
Pm 0.336 0.664 0.000
Pm 0.664 0.336 0.000
Th 0.500 0.500 0.500
Pa 0.167 0.833 0.500
Pa 0.833 0.167 0.500
P 0.078 0.420 0.261
P 0.237 0.237 0.739
P 0.420 0.078 0.261
P 0.580 0.922 0.739
P 0.763 0.763 0.261
P 0.922 0.580 0.739

Values from the calculation:
SG: C2/m, No. 12
Fermi-level density of states: 0.7046 states/eV per atom
calculated formation energy: -17.8 eV/f.u.

(12)
The following is a PBE calculation of a geometry-optimized Pm2ThPaP4 structure, from Alexandria.

a = 7.077 Å, b = 4.092 Å, c = 7.087 Å
α = 90.00°, β = 109.44°, γ = 90.00°
Element x y z (fractional)
Pm 0.000 0.000 0.000
Pm 0.000 0.500 0.500
Th 0.500 0.000 0.500
Pa 0.500 0.500 0.000
P 0.257 0.500 0.244
P 0.260 0.000 0.761
P 0.740 0.000 0.239
P 0.743 0.500 0.756

Values from the calculation:
SG: P2/m, No. 10
Fermi-level density of states: 0.6785 states/eV per atom
calculated formation energy: -12.0 eV/f.u.

(13)
The following is a PBE calculation of a geometry-optimized PmTm2PaP4 structure, from Alexandria.

a = 6.880 Å, b = 4.000 Å, c = 6.932 Å
α = 90.00°, β = 109.49°, γ = 90.00°
Element x y z (fractional)
Pm 0.000 0.000 0.000
Tm 0.500 0.000 0.500
Tm 0.500 0.500 0.000
Pa 0.000 0.500 0.500
P 0.253 0.000 0.745
P 0.256 0.500 0.260
P 0.744 0.500 0.740
P 0.747 0.000 0.255

Values from the calculation:
SG: P2/m, No. 10
Fermi-level density of states: 0.6040 states/eV per atom
calculated formation energy: -12.1 eV/f.u.

(14)
The following is a PBE calculation of a geometry-optimized Pm3Tm2PaP6 structure, from Alexandria.

a = 6.980 Å, b = 6.980 Å, c = 7.015 Å
α = 99.52°, β = 99.52°, γ = 120.01°
Element x y z (fractional)
Pm 0.000 0.000 0.000
Pm 0.332 0.668 0.000
Pm 0.668 0.332 0.000
Tm 0.166 0.834 0.500
Tm 0.834 0.166 0.500
Pa 0.500 0.500 0.500
P 0.092 0.421 0.263
P 0.249 0.249 0.736
P 0.421 0.092 0.263
P 0.579 0.908 0.737
P 0.751 0.751 0.264
P 0.908 0.579 0.737

Values from the calculation:
SG: C2/m, No. 12
Fermi-level density of states: 0.2851 states/eV per atom
calculated formation energy: -18.6 eV/f.u.

(15)
The following is a PBE calculation of a geometry-optimized Pm3UPa2P6 structure, from Alexandria.

a = 9.045 Å, b = 9.045 Å, c = 8.103 Å
α = 103.41°, β = 103.41°, γ = 25.72°
Element x y z (fractional)
Pm 0.000 0.000 0.000
Pm 0.333 0.333 0.667
Pm 0.667 0.667 0.333
U 0.000 0.000 0.500
Pa 0.335 0.335 0.169
Pa 0.665 0.665 0.831
P 0.163 0.163 0.590
P 0.170 0.170 0.075
P 0.498 0.498 0.259
P 0.502 0.502 0.741
P 0.830 0.830 0.925
P 0.837 0.837 0.410

Values from the calculation:
SG: C2/m, No. 12
Fermi-level density of states: 1.0754 states/eV per atom
calculated formation energy: -16.6 eV/f.u.

(16)
The following is a PBE calculation of a geometry-optimized PmU2PaP4 structure, from Alexandria.

a = 6.875 Å, b = 3.960 Å, c = 6.979 Å
α = 90.00°, β = 109.13°, γ = 90.00°
Element x y z (fractional)
Pm 0.000 0.000 0.000
U 0.000 0.500 0.500
U 0.500 0.000 0.500
Pa 0.500 0.500 0.000
P 0.253 0.000 0.745
P 0.259 0.500 0.260
P 0.741 0.500 0.740
P 0.747 0.000 0.255

Values from the calculation:
SG: P2/m, No. 10
Fermi-level density of states: 1.6604 states/eV per atom
calculated formation energy: -9.5 eV/f.u.

(17)
The following is a PBE calculation of a geometry-optimized Pm2YPaP4 structure, from Alexandria.

a = 6.998 Å, b = 4.058 Å, c = 7.038 Å
α = 90.00°, β = 109.42°, γ = 90.00°
Element x y z (fractional)
Pm 0.000 0.000 0.000
Pm 0.500 0.500 0.000
Y 0.000 0.500 0.500
Pa 0.500 0.000 0.500
P 0.252 0.000 0.739
P 0.258 0.500 0.263
P 0.742 0.500 0.737
P 0.748 0.000 0.261

Values from the calculation:
SG: P2/m, No. 10
Fermi-level density of states: 0.5772 states/eV per atom
calculated formation energy: -12.2 eV/f.u.

(18)
The following is a PBE calculation of a geometry-optimized PmYPa2P4 structure, from Alexandria.

a = 6.951 Å, b = 4.013 Å, c = 6.954 Å
α = 90.00°, β = 109.46°, γ = 90.00°
Element x y z (fractional)
Pm 0.000 0.000 0.000
Y 0.500 0.500 0.000
Pa 0.000 0.500 0.500
Pa 0.500 0.000 0.500
P 0.250 0.000 0.742
P 0.257 0.500 0.261
P 0.743 0.500 0.739
P 0.750 0.000 0.258

Values from the calculation:
SG: P2/m, No. 10
Fermi-level density of states: 0.8364 states/eV per atom
calculated formation energy: -11.6 eV/f.u.

(19)
The following is a PBE calculation of a geometry-optimized Pm2ZrPaP4 structure, from Alexandria.

a = 6.860 Å, b = 3.982 Å, c = 6.943 Å
α = 90.00°, β = 109.19°, γ = 90.00°
Element x y z (fractional)
Pm 0.000 0.000 0.000
Pm 0.500 0.500 0.000
Zr 0.000 0.500 0.500
Pa 0.500 0.000 0.500
P 0.239 0.000 0.729
P 0.250 0.500 0.267
P 0.750 0.500 0.733
P 0.761 0.000 0.271

Values from the calculation:
SG: P2/m, No. 10
Fermi-level density of states: 0.6034 states/eV per atom
calculated formation energy: -11.6 eV/f.u.

(20)
The following is a PBE calculation of a geometry-optimized Pm3ZrPa2P6 structure, from Alexandria.

a = 6.917 Å, b = 6.917 Å, c = 6.970 Å
α = 99.50°, β = 99.50°, γ = 120.00°
Element x y z (fractional)
Pm 0.000 0.000 0.000
Pm 0.333 0.667 0.000
Pm 0.667 0.333 0.000
Zr 0.500 0.500 0.500
Pa 0.166 0.834 0.500
Pa 0.834 0.166 0.500
P 0.094 0.423 0.269
P 0.249 0.249 0.734
P 0.423 0.094 0.269
P 0.577 0.906 0.731
P 0.751 0.751 0.266
P 0.906 0.577 0.731

Values from the calculation:
SG: C2/m, No. 12
Fermi-level density of states: 0.6483 states/eV per atom
calculated formation energy: -17.4 eV/f.u.

(21)
The following is a PBE calculation of a geometry-optimized Pm3Zr2PaP6 structure, from Alexandria.

a = 6.841 Å, b = 6.841 Å, c = 6.921 Å
α = 99.49°, β = 99.49°, γ = 120.01°
Element x y z (fractional)
Pm 0.000 0.000 0.000
Pm 0.335 0.665 0.000
Pm 0.665 0.335 0.000
Zr 0.167 0.833 0.500
Zr 0.833 0.167 0.500
Pa 0.500 0.500 0.500
P 0.086 0.423 0.270
P 0.238 0.238 0.728
P 0.423 0.086 0.270
P 0.577 0.914 0.730
P 0.762 0.762 0.272
P 0.914 0.577 0.730

Values from the calculation:
SG: C2/m, No. 12
Fermi-level density of states: 0.5662 states/eV per atom
calculated formation energy: -17.4 eV/f.u.

(22)
The following is a PBE calculation of a geometry-optimized Pr3PaP4 structure, from Alexandria.

a = 7.163 Å, b = 7.163 Å, c = 7.163 Å
α = 131.89°, β = 131.89°, γ = 70.41°
Element x y z (fractional)
Pr 0.000 0.000 0.000
Pr 0.250 0.750 0.500
Pr 0.750 0.250 0.500
Pa 0.500 0.500 0.000
P 0.000 0.500 0.500
P 0.263 0.263 0.000
P 0.500 0.000 0.500
P 0.737 0.737 0.000

Values from the calculation:
SG: I4/mmm, No. 139
energy relative to the lowest polymorph listed for this composition: 0.008 eV per atom
Fermi-level density of states: 0.4409 states/eV per atom
calculated formation energy: -11.7 eV/f.u.